A plane-wave DFT calculation with PBE was carried out for a geometry-optimized BaSb2 structure.

a = 5.157 Å, b = 5.157 Å, c = 4.857 Å
α = 90.11°, β = 90.11°, γ = 59.88°
Sites, in units of the cell vectors:
Ba (0.000, 0.000, 0.000)
Sb (0.334, 0.334, 0.448)
Sb (0.666, 0.666, 0.552)

Calculated values
Total DFT energy (no corrections) (eV for the cell shown): -12.14
Symmetry: C2/m
Formation energy from raw total energies (eV per atom): -0.656